Computed, not measured: crystalline FeCu2OF at its relaxed geometry at the GGA+U level of DFT.

## Properties
uncorrected energy = -19.1 eV for the cell shown
volume = 13.71 Å³/atom

The structure in POSCAR format:
```
FeCu2OF
1.0
3.718 0.000 0.000
0.000 3.718 0.000
0.000 0.000 4.961
Fe Cu O F
1 2 1 1
Cartesian
0.000 0.000 0.000 Fe
0.000 1.859 2.481 Cu
1.859 0.000 2.481 Cu
1.859 1.859 0.000 O
1.859 1.859 2.481 F
```